Record 1
Zr5CdAu3 | PBE | optimized geometry

The space group is P6_3/mcm (No. 193) and the conventional cell measures 8.6081, 8.6081 and 5.8438 Å, with angles of 90.00, 90.00 and 120.00 degrees. The asymmetric unit holds Zr at (0.0000, 0.3264, 0.2500), Zr at (0.3333, 0.6667, 0.0000), Cd at (0.0000, 0.0000, 0.0000) and Au at (0.0000, 0.3434, 0.7500).

As for the crystal system: hexagonal.

---

Record 2
CdSbRu | PBE | optimized geometry

The space group is I4mm (No. 107) and the conventional cell measures 3.206, 3.206 and 12.264 Å, with angles of 90.00, 90.00 and 90.00 degrees. The asymmetric unit holds Cd at (0.000, 0.000, 0.000), Sb at (0.000, 0.000, 0.268) and Ru at (0.000, 0.000, 0.648).

Its uncorrected formation energy is 59 meV/atom. As for the crystal system: tetragonal.

---

Record 3
Zr2IrCl | PBE | optimized geometry

The space group is Pmmm (No. 47) and the conventional cell measures 3.018, 3.537 and 7.827 Å, with angles of 90.00, 90.00 and 90.00 degrees. The asymmetric unit holds Zr at (0.000, 0.000, 0.208), Ir at (0.500, 0.500, 0.000) and Cl at (0.500, 0.000, 0.500).

Its uncorrected formation energy is -794 meV/atom. As for the crystal system: orthorhombic.

---

Record 4
Na4TiMn3Se8 | PBE | optimized geometry

The space group is R-3m (No. 166, hexagonal axes) and the conventional cell measures 7.6364, 7.6364 and 20.7623 Å, with angles of 90.00, 90.00 and 120.00 degrees. The asymmetric unit holds Na at (0.0000, 0.0000, 0.0000), Na at (0.0000, 0.5000, 0.0000), Ti at (0.0000, 0.0000, 0.5000), Mn at (0.0000, 0.5000, 0.5000), Se at (0.0000, 0.0000, 0.2342) and Se at (0.0041, 0.5021, 0.2355).

Its uncorrected formation energy is -841 meV/atom. As for the crystal system: trigonal.

---

Record 5
Ac6Tl2Cd | PBE | optimized geometry

The space group is C2/m (No. 12) and the conventional cell measures 17.824, 7.987 and 5.641 Å, with angles of 90.00, 108.45 and 90.00 degrees. The asymmetric unit holds Ac at (0.000, 0.246, 0.000), Ac at (0.166, 0.248, 0.665), Tl at (0.166, 0.500, 0.165) and Cd at (0.000, 0.000, 0.500).

As for the crystal system: monoclinic.

---

Record 6
CsNaVI6 | PBE | optimized geometry

The space group is C2 (No. 5) and the conventional cell measures 7.868, 13.669 and 8.350 Å, with angles of 90.00, 90.07 and 90.00 degrees. The asymmetric unit holds Cs at (0.000, 0.000, 0.000), Na at (0.000, 0.334, 0.500), V at (0.000, 0.667, 0.500), I at (0.128, 0.522, 0.308), I at (0.154, 0.803, 0.308) and I at (0.217, 0.175, 0.309).

Its uncorrected formation energy is -773 meV/atom. As for the crystal system: monoclinic.

---

Record 7
SrYRe2 | PBE | optimized geometry

The space group is P4/mmm (No. 123) and the conventional cell measures 5.008, 5.008 and 3.558 Å, with angles of 90.00, 90.00 and 90.00 degrees. The asymmetric unit holds Sr at (0.000, 0.000, 0.000), Y at (0.500, 0.500, 0.000) and Re at (0.000, 0.500, 0.500).

As for the crystal system: tetragonal.

---

Record 8
InTc2NiPt | PBE | optimized geometry

The space group is P4/mmm (No. 123) and the conventional cell measures 4.446, 4.446 and 4.675 Å, with angles of 90.00, 90.00 and 90.00 degrees. The asymmetric unit holds In at (0.000, 0.000, 0.000), Tc at (0.000, 0.500, 0.500), Ni at (0.500, 0.500, 0.500) and Pt at (0.500, 0.500, 0.000).

As for the crystal system: tetragonal.

---

Magnetization
In order: 0.000, 0.000, 0.000, 0.813, 0.001, 0.103, 0.762, 0.658
Unit: μB/atom
Total DFT energy (no corrections)
In order: -113.12, -28.27, -30.98, -246.04, -61.39, -55.09, -28.09, -30.16
Unit: eV/cell